Crystalline RbSnRuPt2 at its relaxed geometry. Source: Alexandria, functional GGA-PBE.

Structure (extended XYZ):
```
5
Lattice="5.032 0.000 0.000 0.000 5.736 0.000 0.000 0.000 5.032" Properties=species:S:1:pos:R:3 pbc="T T T"
Ru 2.516 2.868 2.516
Rb 0.000 0.000 0.000
Sn 0.000 2.868 0.000
Pt 0.000 0.000 2.516
Pt 2.516 0.000 0.000
```

Properties
- V: 29.04 Å³ per atom
- Formation enthalpy at 0 K: 2.478 eV/atom